(1)
VASP calculation (PBE) on Cs2TlHg6 after structural relaxation.

Geometry as extended XYZ:
```
9
Lattice="0.0000 5.5429 5.5429 5.5429 0.0000 5.5429 5.5429 5.5429 0.0000" Properties=species:S:1:pos:R:3 pbc="T T T"
Cs 2.7714 2.7714 2.7714
Cs 8.3143 8.3143 8.3143
Tl 0.0000 0.0000 0.0000
Hg 5.5429 5.5429 3.2124
Hg 5.5429 3.2124 5.5429
Hg 7.8733 5.5429 5.5429
Hg 3.2124 5.5429 5.5429
Hg 5.5429 7.8733 5.5429
Hg 5.5429 5.5429 7.8733
```

## Properties
energy above the lowest structure with this stoichiometry: 27 meV per atom



(2)
VASP calculation (PBE) on CsTlHg17 after structural relaxation.

Geometry as extended XYZ:
```
19
Lattice="5.2370 3.0236 6.0604 -5.2370 3.0236 6.0604 0.0000 -6.0472 6.0604" Properties=species:S:1:pos:R:3 pbc="T T T"
Cs 0.0000 0.0000 0.0000
Tl 0.0000 0.0000 12.6155
Hg -1.6243 -2.7188 6.4988
Hg -3.1667 -0.0473 6.4988
Hg -2.2802 -1.3165 10.1134
Hg 0.0000 0.0000 5.3474
Hg 0.0000 -3.7025 9.2802
Hg -3.2065 1.8513 9.2802
Hg 1.6243 -2.7188 6.4988
Hg -1.5424 2.7661 6.4988
Hg 0.0000 0.0000 8.4971
Hg -2.0214 -1.1671 15.0633
Hg 3.1667 -0.0473 6.4988
Hg 1.5424 2.7661 6.4988
Hg 2.2802 -1.3165 10.1134
Hg 0.0000 2.6329 10.1134
Hg 3.2065 1.8512 9.2802
Hg 2.0214 -1.1671 15.0633
Hg 0.0000 2.3341 15.0633
```



(3)
VASP calculation (PBE) on Cs5Tl4Hg2 after structural relaxation.

Geometry as extended XYZ:
```
11
Lattice="6.3851 -4.1670 0.0000 6.3851 4.1670 0.0000 -3.4094 0.0000 9.9738" Properties=species:S:1:pos:R:3 pbc="T T T"
Cs 0.0000 0.0000 0.0000
Cs 3.0746 2.0062 6.3507
Cs 6.2862 2.0062 3.6231
Cs 3.0746 -2.0062 6.3507
Cs 6.2862 -2.0062 3.6231
Tl 3.0510 0.0000 2.5845
Tl 4.7770 0.0000 0.0602
Tl 4.5837 0.0000 9.9136
Tl 6.3098 0.0000 7.3893
Hg -0.1207 0.0000 7.2941
Hg 9.4815 0.0000 2.6797
```



(4)
VASP calculation (PBE) on CsTl7Hg5 after structural relaxation.

Geometry as extended XYZ:
```
13
Lattice="-3.0680 5.8166 5.7750 3.0680 -5.8166 5.7750 3.0680 5.8166 -5.7750" Properties=species:S:1:pos:R:3 pbc="T T T"
Cs 0.0000 0.0000 0.0000
Tl 3.0680 2.5769 -0.0759
Tl 0.0000 0.0000 4.0656
Tl 3.0680 -1.6197 5.7190
Tl 3.0680 1.6197 5.7190
Tl 0.0000 0.0000 7.3443
Tl 0.0000 3.2397 5.6991
Tl 0.0000 5.8166 3.1781
Hg 3.0680 0.0000 2.4678
Hg 1.5437 2.8702 2.8198
Hg 4.5923 2.8702 2.8198
Hg -1.5243 2.9464 8.5948
Hg 1.5243 2.9464 8.5948
```



Computed values of spin magnetization (unit: μB/cell) for the preceding records, in sequence: 0.0 0.0 0.0 0.0.
Computed values of mass density (unit: kg/m3) for the preceding records, in sequence: 8160 10807 5892 10339.
Computed values of final energy (unit: Ha/atom) for the preceding records, in sequence: -0.0309 -0.0183 -0.0488 -0.0552.